No. 1
{
  "formula": "RbGa3Tc",
  "functional": "PBE",
  "state": "relaxed",
  "cell": [[3.083, 1.780, 3.832], [-3.083, 1.780, 3.832], [0.000, -3.560, 3.832]],
  "species": ["Rb", "Ga", "Ga", "Ga", "Tc"],
  "fractional_positions": [[0.000, 0.000, 0.000], [0.097, 0.592, 0.592], [0.592, 0.097, 0.592], [0.592, 0.592, 0.097], [0.280, 0.280, 0.280]],
  "magnetic_moment_mub_per_fu": 0.00,
  "ef_ev_per_atom": 0.663,
  "e_tot_ev_per_atom": -3.420,
  "dos_at_fermi_per_ev_atom": 0.737
}

***

No. 2
{
  "formula": "Tm2Al9Ga",
  "functional": "PBE",
  "state": "relaxed",
  "cell": [[4.181, 0.000, 0.000], [0.000, 4.181, 0.000], [0.000, 0.000, 12.624]],
  "species": ["Tm", "Tm", "Al", "Al", "Al", "Al", "Al", "Al", "Al", "Al", "Al", "Ga"],
  "fractional_positions": [[0.000, 0.000, 0.166], [0.000, 0.000, 0.834], [0.000, 0.500, 0.000], [0.000, 0.500, 0.341], [0.000, 0.500, 0.659], [0.500, 0.000, 0.000], [0.500, 0.000, 0.341], [0.500, 0.000, 0.659], [0.500, 0.500, 0.168], [0.500, 0.500, 0.500], [0.500, 0.500, 0.832], [0.000, 0.000, 0.500]],
  "magnetic_moment_mub_per_fu": 0.00,
  "ef_ev_per_atom": -0.237,
  "e_tot_ev_per_atom": -4.041,
  "dos_at_fermi_per_ev_atom": 0.335
}

***

No. 3
{
  "formula": "Cd2GePd3",
  "functional": "PBE",
  "state": "relaxed",
  "cell": [[-2.872, 7.202, 2.492], [2.872, -7.202, 2.492], [2.872, 7.202, -2.492]],
  "species": ["Cd", "Cd", "Cd", "Cd", "Ge", "Ge", "Pd", "Pd", "Pd", "Pd", "Pd", "Pd"],
  "fractional_positions": [[0.311, 0.247, 0.063], [0.316, 0.753, 0.563], [0.684, 0.247, 0.437], [0.689, 0.753, 0.937], [0.166, 0.416, 0.750], [0.834, 0.584, 0.250], [0.138, 0.000, 0.638], [0.138, 0.500, 0.138], [0.344, 0.094, 0.250], [0.656, 0.906, 0.750], [0.862, 0.000, 0.362], [0.862, 0.500, 0.862]],
  "magnetic_moment_mub_per_fu": 0.00,
  "ef_ev_per_atom": -0.384,
  "e_tot_ev_per_atom": -4.055,
  "dos_at_fermi_per_ev_atom": 0.169
}

***

No. 4
{
  "formula": "SmYGaPb",
  "functional": "PBE",
  "state": "relaxed",
  "cell": [[0.000, 3.765, 3.765], [3.765, 0.000, 3.765], [3.765, 3.765, 0.000]],
  "species": ["Sm", "Y", "Ga", "Pb"],
  "fractional_positions": [[0.000, 0.000, 0.000], [0.500, 0.500, 0.500], [0.250, 0.250, 0.250], [0.750, 0.750, 0.750]],
  "magnetic_moment_mub_per_fu": 0.00,
  "ef_ev_per_atom": -0.456,
  "e_tot_ev_per_atom": -4.935,
  "dos_at_fermi_per_ev_atom": 0.637
}

***

No. 5
{
  "formula": "PmCo2GeH2",
  "functional": "PBE",
  "state": "relaxed",
  "cell": [[4.469, 0.000, 0.000], [0.000, 5.213, 0.000], [-1.161, 0.000, 6.514]],
  "species": ["Pm", "Pm", "Co", "Co", "Co", "Co", "Ge", "Ge", "H", "H", "H", "H"],
  "fractional_positions": [[0.242, 0.250, 0.352], [0.758, 0.750, 0.648], [0.287, 0.025, 0.826], [0.287, 0.475, 0.826], [0.713, 0.525, 0.174], [0.713, 0.975, 0.174], [0.212, 0.750, 0.100], [0.788, 0.250, 0.900], [0.131, 0.250, 0.673], [0.270, 0.750, 0.689], [0.730, 0.250, 0.311], [0.869, 0.750, 0.327]],
  "magnetic_moment_mub_per_fu": 0.00,
  "e_tot_ev_per_atom": -5.328,
  "dos_at_fermi_per_ev_atom": 0.381
}

***

No. 6
{
  "formula": "BaTa2Al",
  "functional": "PBE",
  "state": "relaxed",
  "cell": [[5.289, -1.519, 0.000], [5.289, 1.519, 0.000], [-1.059, 0.000, 6.008]],
  "species": ["Ba", "Ta", "Ta", "Al"],
  "fractional_positions": [[0.000, 0.000, 0.000], [0.220, 0.220, 0.668], [0.780, 0.780, 0.332], [0.500, 0.500, 0.500]],
  "magnetic_moment_mub_per_fu": 0.00,
  "ef_ev_per_atom": 0.585,
  "e_tot_ev_per_atom": -6.757,
  "dos_at_fermi_per_ev_atom": 0.843
}

***

No. 7
{
  "formula": "VGa2IrN",
  "functional": "PBE",
  "state": "relaxed",
  "cell": [[4.444, 0.000, 0.000], [0.000, 4.444, 0.000], [0.000, 0.000, 3.738]],
  "species": ["V", "Ga", "Ga", "Ir", "N"],
  "fractional_positions": [[0.000, 0.000, 0.000], [0.000, 0.500, 0.500], [0.500, 0.000, 0.500], [0.500, 0.500, 0.000], [0.500, 0.500, 0.500]],
  "magnetic_moment_mub_per_fu": 0.00,
  "raw_formation_energy_kj_per_mol_atoms": 51.0,
  "e_tot_ev_per_atom": -5.943,
  "dos_at_fermi_per_ev_atom": 1.080
}

***

No. 8
{
  "formula": "Zr3Re2Pd",
  "functional": "PBE",
  "state": "relaxed",
  "cell": [[3.329, 0.000, 0.000], [0.000, 3.329, 0.000], [0.000, 0.000, 9.950]],
  "species": ["Zr", "Zr", "Zr", "Re", "Re", "Pd"],
  "fractional_positions": [[0.000, 0.000, 0.000], [0.000, 0.000, 0.324], [0.000, 0.000, 0.676], [0.500, 0.500, 0.170], [0.500, 0.500, 0.830], [0.500, 0.500, 0.500]],
  "magnetic_moment_mub_per_fu": 0.00,
  "ef_ev_per_atom": -0.415,
  "e_tot_ev_per_atom": -9.704,
  "dos_at_fermi_per_ev_atom": 0.412
}

***

No. 9
{
  "formula": "Ba3CaHg12",
  "functional": "PBE",
  "state": "relaxed",
  "cell": [[4.925, 0.000, 0.000], [0.000, 4.925, 0.000], [0.000, 0.000, 20.162]],
  "species": ["Ba", "Ba", "Ba", "Ca", "Hg", "Hg", "Hg", "Hg", "Hg", "Hg", "Hg", "Hg", "Hg", "Hg", "Hg", "Hg"],
  "fractional_positions": [[0.000, 0.000, 0.000], [0.000, 0.000, 0.258], [0.000, 0.000, 0.742], [0.000, 0.000, 0.500], [0.000, 0.500, 0.128], [0.000, 0.500, 0.390], [0.000, 0.500, 0.610], [0.000, 0.500, 0.872], [0.500, 0.000, 0.128], [0.500, 0.000, 0.390], [0.500, 0.000, 0.610], [0.500, 0.000, 0.872], [0.500, 0.500, 0.000], [0.500, 0.500, 0.280], [0.500, 0.500, 0.500], [0.500, 0.500, 0.720]],
  "magnetic_moment_mub_per_fu": 0.00,
  "ef_ev_per_atom": -0.374,
  "e_tot_ev_per_atom": -1.086,
  "dos_at_fermi_per_ev_atom": 0.664
}

***

No. 10
{
  "formula": "YMnOs",
  "functional": "PBE",
  "state": "relaxed",
  "cell": [[0.000, 3.187, 3.187], [3.187, 0.000, 3.187], [3.187, 3.187, 0.000]],
  "species": ["Y", "Mn", "Os"],
  "fractional_positions": [[0.000, 0.000, 0.000], [0.500, 0.500, 0.500], [0.250, 0.250, 0.250]],
  "magnetic_moment_mub_per_fu": 3.90,
  "ef_ev_per_atom": 0.462,
  "e_tot_ev_per_atom": -8.492,
  "dos_at_fermi_per_ev_atom": 1.315
}

***

No. 11
{
  "formula": "SrCu4BiP2",
  "functional": "PBE",
  "state": "relaxed",
  "cell": [[3.962, 0.000, 0.000], [0.000, 3.962, 0.000], [0.000, 0.000, 9.636]],
  "species": ["Sr", "Cu", "Cu", "Cu", "Cu", "Bi", "P", "P"],
  "fractional_positions": [[0.000, 0.000, 0.000], [0.000, 0.500, 0.286], [0.000, 0.500, 0.714], [0.500, 0.000, 0.286], [0.500, 0.000, 0.714], [0.000, 0.000, 0.500], [0.500, 0.500, 0.168], [0.500, 0.500, 0.832]],
  "magnetic_moment_mub_per_fu": 0.00,
  "ef_ev_per_atom": -0.277,
  "e_tot_ev_per_atom": -4.373,
  "dos_at_fermi_per_ev_atom": 0.346
}

***

No. 12
{
  "formula": "Na4Ho3BiS8",
  "functional": "PBE",
  "state": "relaxed",
  "cell": [[4.000, 2.309, 6.696], [-4.000, 2.309, 6.696], [0.000, -4.618, 6.696]],
  "species": ["Na", "Na", "Na", "Na", "Ho", "Ho", "Ho", "Bi", "S", "S", "S", "S", "S", "S", "S", "S"],
  "fractional_positions": [[0.000, 0.000, 0.000], [0.000, 0.500, 0.500], [0.500, 0.000, 0.500], [0.500, 0.500, 0.000], [0.000, 0.000, 0.500], [0.000, 0.500, 0.000], [0.500, 0.000, 0.000], [0.500, 0.500, 0.500], [0.235, 0.747, 0.747], [0.241, 0.241, 0.241], [0.253, 0.253, 0.765], [0.253, 0.765, 0.253], [0.747, 0.235, 0.747], [0.747, 0.747, 0.235], [0.759, 0.759, 0.759], [0.765, 0.253, 0.253]],
  "magnetic_moment_mub_per_fu": 0.00,
  "raw_formation_energy_kj_per_mol_atoms": -152.0,
  "e_tot_ev_per_atom": -5.069,
  "dos_at_fermi_per_ev_atom": 0.000
}

***

No. 13
{
  "formula": "CaAl2Tc2",
  "functional": "PBE",
  "state": "relaxed",
  "cell": [[-2.309, 2.309, 4.563], [2.309, -2.309, 4.563], [2.309, 2.309, -4.563]],
  "species": ["Ca", "Al", "Al", "Tc", "Tc"],
  "fractional_positions": [[0.000, 0.000, 0.000], [0.250, 0.750, 0.500], [0.750, 0.250, 0.500], [0.374, 0.374, 0.000], [0.626, 0.626, 0.000]],
  "magnetic_moment_mub_per_fu": 0.00,
  "ef_ev_per_atom": 0.000,
  "e_tot_ev_per_atom": -6.044,
  "dos_at_fermi_per_ev_atom": 1.315
}

***

No. 14
{
  "formula": "La3Ge6Pt2Rh",
  "functional": "PBE",
  "state": "relaxed",
  "cell": [[6.150, 0.000, 0.000], [-3.075, 5.326, 0.000], [0.000, 0.000, 8.010]],
  "species": ["La", "La", "La", "Ge", "Ge", "Ge", "Ge", "Ge", "Ge", "Pt", "Pt", "Rh"],
  "fractional_positions": [[0.000, 0.000, 0.000], [0.333, 0.667, 0.679], [0.667, 0.333, 0.321], [0.193, 0.385, 0.312], [0.193, 0.807, 0.312], [0.385, 0.193, 0.688], [0.615, 0.807, 0.312], [0.807, 0.193, 0.688], [0.807, 0.615, 0.688], [0.333, 0.667, 0.042], [0.667, 0.333, 0.958], [0.000, 0.000, 0.500]],
  "magnetic_moment_mub_per_fu": 0.00,
  "ef_ev_per_atom": -0.523,
  "e_tot_ev_per_atom": -5.683,
  "dos_at_fermi_per_ev_atom": 0.603
}

***

No. 15
{
  "formula": "KCa2Y",
  "functional": "PBE",
  "state": "relaxed",
  "cell": [[6.355, -1.840, 0.000], [6.355, 1.840, 0.000], [-0.873, 0.000, 7.403]],
  "species": ["K", "Ca", "Ca", "Y"],
  "fractional_positions": [[0.000, 0.000, 0.000], [0.242, 0.242, 0.724], [0.758, 0.758, 0.276], [0.500, 0.500, 0.500]],
  "magnetic_moment_mub_per_fu": 0.04,
  "ef_ev_per_atom": 0.298,
  "e_tot_ev_per_atom": -2.593,
  "dos_at_fermi_per_ev_atom": 1.445
}

***

No. 16
{
  "formula": "MnGaCoSe2",
  "functional": "PBE",
  "state": "relaxed",
  "cell": [[5.243, 0.000, 0.000], [0.000, 3.117, 0.000], [-2.066, 0.000, 5.320]],
  "species": ["Mn", "Ga", "Co", "Se", "Se"],
  "fractional_positions": [[0.000, 0.000, 0.000], [0.924, 0.500, 0.588], [0.597, 0.000, 0.255], [0.293, 0.500, 0.331], [0.617, 0.500, 0.946]],
  "magnetic_moment_mub_per_fu": 2.36,
  "raw_formation_energy_kj_per_mol_atoms": -9.2,
  "e_tot_ev_per_atom": -5.349,
  "dos_at_fermi_per_ev_atom": 0.776
}